Here is a relaxed AlCdI2N crystal from Alexandria via LeMat-Bulk. Energies are from PBE-GGA.

Summary:
As for the energy relative to the lowest polymorph listed for this composition: 0 meV/atom. The value obtained for the total energy is -15.51 eV for the cell shown.

Unit cell a=5.833 b=5.833 c=3.613 alpha=90.00 beta=90.00 gamma=90.00
Fractional coordinates of all 5 atoms:
Cd 0.500 0.500 0.500
N 0.000 0.000 0.500
I 0.500 0.000 0.000
I 0.000 0.500 0.000
Al 0.000 0.000 0.000